[1]
## ReSnCl2O (PBE)

Data for crystalline ReSnCl2O at its relaxed geometry.

a = 5.565 Å, b = 5.565 Å, c = 4.023 Å
α = 90.00°, β = 90.00°, γ = 90.00°
Atoms (fractional coordinates):
Re1 0.000 0.000 0.000
Sn1 0.500 0.500 0.500
Cl1 0.000 0.500 0.500
Cl2 0.500 0.000 0.500
O1 0.500 0.500 0.000

Calculated values
Uncorrected formation energy (eV/f.u.): 2.72

=====

[2]
## ScCl2 (PBE)

Data for crystalline ScCl2 at its relaxed geometry.

a = 4.371 Å, b = 4.371 Å, c = 8.317 Å
α = 90.00°, β = 90.00°, γ = 120.00°
Atoms (fractional coordinates):
Sc1 0.333 0.667 0.250
Sc2 0.667 0.333 0.750
Cl1 0.000 0.000 0.000
Cl2 0.000 0.000 0.500
Cl3 0.333 0.667 0.750
Cl4 0.667 0.333 0.250

Calculated values
Uncorrected formation energy (eV/f.u.): -4.01

=====

[3]
## NiPb2Br (PBE)

Data for crystalline NiPb2Br at its relaxed geometry.

a = 7.694 Å, b = 7.703 Å, c = 3.342 Å
α = 90.00°, β = 90.00°, γ = 90.00°
Atoms (fractional coordinates):
Ni1 0.000 0.000 0.000
Ni2 0.500 0.500 0.000
Pb1 0.250 0.250 0.500
Pb2 0.250 0.750 0.500
Pb3 0.750 0.250 0.500
Pb4 0.750 0.750 0.500
Br1 0.000 0.500 0.000
Br2 0.500 0.000 0.000

Calculated values
Energy above the lowest structure with this stoichiometry (eV per atom): 0.296
Uncorrected formation energy (eV/f.u.): 0.81

=====

[4]
## AlPdO3 (PBE)

Data for crystalline AlPdO3 at its relaxed geometry.

a = 3.216 Å, b = 3.216 Å, c = 11.908 Å
α = 90.00°, β = 90.00°, γ = 120.00°
Atoms (fractional coordinates):
Al1 0.333 0.667 0.250
Al2 0.667 0.333 0.750
Pd1 0.000 0.000 0.000
Pd2 0.000 0.000 0.500
O1 0.000 0.000 0.250
O2 0.000 0.000 0.750
O3 0.333 0.667 0.087
O4 0.333 0.667 0.413
O5 0.667 0.333 0.587
O6 0.667 0.333 0.913

Calculated values
Uncorrected formation energy (eV/f.u.): -7.75

=====

[5]
## AcPmAl2Ge2 (PBE)

Data for crystalline AcPmAl2Ge2 at its relaxed geometry.

a = 4.309 Å, b = 4.309 Å, c = 8.954 Å
α = 90.00°, β = 90.00°, γ = 120.00°
Atoms (fractional coordinates):
Ac1 0.000 0.000 0.000
Pm1 0.000 0.000 0.500
Al1 0.333 0.667 0.748
Al2 0.667 0.333 0.252
Ge1 0.333 0.667 0.280
Ge2 0.667 0.333 0.720

Calculated values
Formation enthalpy at 0 K (meV per atom): -631.8

=====

[6]
## CdPtPb2 (PBE)

Data for crystalline CdPtPb2 at its relaxed geometry.

a = 3.910 Å, b = 3.910 Å, c = 24.601 Å
α = 90.00°, β = 90.00°, γ = 120.00°
Atoms (fractional coordinates):
Cd1 0.000 0.000 0.000
Cd2 0.333 0.667 0.667
Cd3 0.667 0.333 0.333
Pt1 0.000 0.000 0.500
Pt2 0.333 0.667 0.167
Pt3 0.667 0.333 0.833
Pb1 0.000 0.000 0.235
Pb2 0.000 0.000 0.765
Pb3 0.333 0.667 0.431
Pb4 0.333 0.667 0.902
Pb5 0.667 0.333 0.098
Pb6 0.667 0.333 0.569

Calculated values
Formation enthalpy at 0 K (meV per atom): -66.0

=====

[7]
## CuHgB (PBE)

Data for crystalline CuHgB at its relaxed geometry.

a = 3.920 Å, b = 4.484 Å, c = 5.734 Å
α = 91.22°, β = 104.46°, γ = 107.36°
Atoms (fractional coordinates):
Cu1 0.000 0.000 0.000
Cu2 0.500 0.000 0.500
Hg1 0.198 0.547 0.789
Hg2 0.802 0.453 0.211
B1 0.051 0.000 0.648
B2 0.949 0.000 0.352

Calculated values
Energy above the lowest structure with this stoichiometry (eV per atom): 0.073
Formation enthalpy at 0 K (meV per atom): 382.8

=====

[8]
## Sm2PuO (PBE)

Data for crystalline Sm2PuO at its relaxed geometry.

a = 3.158 Å, b = 3.158 Å, c = 8.763 Å
α = 90.00°, β = 90.00°, γ = 90.00°
Atoms (fractional coordinates):
Sm1 0.000 0.000 0.179
Sm2 0.000 0.000 0.821
Pu1 0.500 0.500 0.500
O1 0.500 0.500 0.000

Calculated values
Energy above the lowest structure with this stoichiometry (eV per atom): 0.288
Uncorrected formation energy (eV/f.u.): -3.06